SmErP2O8: relaxed, GGA-PBE.

Output
For the uncorrected formation energy, the calculation gives -2.903 eV/atom. The space group is P-3m1 (164). Its magnetization is 0.0 Bohr magnetons per cell. For the density of states at the Fermi level, the calculation gives 0.00 states/eV/f.u.

Cell: 5.2521 5.2521 7.0323 Å, 90.00 90.00 120.00°
Closest atoms and distances in Å follow each position.
Sites, in units of the cell vectors:
Sm1 0.0000 0.0000 0.0000  6 O 2.51
Er1 0.0000 0.0000 0.5000  6 O 2.22
P1 0.3333 0.6667 0.7978  4 O 1.53-1.55
P2 0.6667 0.3333 0.2022  4 O 1.53-1.55
O1 0.1728 0.3455 0.7220  1 P 1.55
O2 0.1728 0.8272 0.7220  1 P 1.55
O3 0.3333 0.6667 0.0148  1 P 1.53
O4 0.3455 0.1728 0.2780  1 P 1.55
O5 0.6545 0.8272 0.7220  1 P 1.55
O6 0.6667 0.3333 0.9852  1 P 1.53
O7 0.8272 0.1728 0.2780  1 P 1.55
O8 0.8272 0.6545 0.2780  1 P 1.55